Entry 1:
LiHfU2Se4 (GGA-PBE, optimized geometry); formation energy from raw total energies = -1.083 eV per atom; crystal system = monoclinic
1.0
-1.6835 -3.4514 -0.2078
5.3396 -2.7885 3.0578
-4.5715 1.9307 4.9670
U Se Hf Li
2 4 1 1
direct
0.0000 0.5000 0.5000
0.5000 0.0000 0.5000
0.0000 0.7392 0.2235
0.5000 0.7529 0.7752
0.5000 0.2471 0.2248
0.0000 0.2608 0.7765
0.0000 0.0000 0.0000
0.5000 0.5000 0.0000

Entry 2:
Tb4MgCu5 (GGA-PBE, optimized geometry); crystal system = tetragonal; E_form = -1.94 eV/f.u.
1.0
-2.6032 0.5612 2.1444
-1.7691 -2.5188 -1.4885
6.7404 -11.3199 11.1447
Tb Cu Mg
4 5 1
direct
0.0000 0.0000 0.3967
0.0000 0.0000 0.6033
0.0000 0.0000 0.8101
0.0000 0.0000 0.1899
0.5000 0.5000 0.2930
0.5000 0.5000 0.0858
0.5000 0.5000 0.7070
0.5000 0.5000 0.5000
0.5000 0.5000 0.9142
0.0000 0.0000 0.0000

Entry 3:
Tb12Hg3O5 (GGA-PBE, optimized geometry); formation energy from raw total energies = -1.540 eV per atom; crystal system = cubic
1.0
-8.1640 -6.6375 -8.4676
1.9482 -7.4178 11.1169
-5.6513 11.7895 3.3877
Hg Tb O
12 48 20
direct
0.6250 0.3750 0.7500
0.1250 0.2500 0.8750
0.6250 0.2500 0.3750
0.2500 0.6250 0.8750
0.2500 0.1250 0.3750
0.8750 0.1250 0.2500
0.3750 0.6250 0.2500
0.7500 0.8750 0.6250
0.7500 0.3750 0.1250
0.1250 0.8750 0.7500
0.3750 0.7500 0.6250
0.8750 0.7500 0.1250
0.8119 0.9096 0.3019
0.1076 0.4096 0.0976
0.3924 0.9900 0.8019
0.1076 0.6981 0.5100
0.9096 0.0976 0.6076
0.0976 0.1881 0.4900
0.0904 0.1881 0.1981
0.6076 0.5976 0.9096
0.1881 0.0904 0.6981
0.8924 0.3019 0.4900
0.4900 0.8019 0.8924
0.9024 0.0904 0.8924
0.5100 0.1981 0.1076
0.6076 0.0100 0.1981
0.5976 0.6076 0.4096
0.5100 0.3119 0.9024
0.6881 0.4900 0.5976
0.6981 0.1076 0.0100
0.0100 0.4024 0.8119
0.0904 0.9024 0.3924
0.0976 0.9096 0.1076
0.9900 0.3924 0.3019
0.9096 0.8119 0.8019
0.4096 0.1076 0.5976
0.4024 0.0100 0.3119
0.0100 0.6076 0.6981
0.1881 0.0976 0.9900
0.5904 0.8924 0.4024
0.8019 0.4900 0.3924
0.4024 0.3924 0.5904
0.6881 0.1981 0.5904
0.4096 0.3019 0.3119
0.5904 0.6981 0.6881
0.8119 0.9024 0.0100
0.1981 0.6881 0.0904
0.6981 0.5904 0.1881
0.8019 0.3119 0.9096
0.3119 0.5100 0.4024
0.3119 0.8019 0.4096
0.3019 0.8924 0.9900
0.1981 0.5100 0.6076
0.4900 0.6881 0.0976
0.5976 0.9900 0.6881
0.3924 0.4024 0.0904
0.8924 0.5904 0.9024
0.9900 0.5976 0.1881
0.3019 0.4096 0.8119
0.9024 0.8119 0.5100
0.5000 0.5000 0.0000
0.6250 0.8750 0.2500
0.7500 0.1250 0.8750
0.5000 0.5000 0.5000
0.0000 0.5000 0.5000
0.1250 0.3750 0.2500
0.3750 0.2500 0.1250
0.5000 0.0000 0.5000
0.2500 0.3750 0.6250
0.7500 0.6250 0.3750
0.2500 0.8750 0.1250
0.5000 0.0000 0.0000
0.0000 0.5000 0.0000
0.3750 0.1250 0.7500
0.0000 0.0000 0.0000
0.0000 0.0000 0.5000
0.8750 0.2500 0.6250
0.8750 0.6250 0.7500
0.6250 0.7500 0.8750
0.1250 0.7500 0.3750

Entry 4:
Fe2SiNi5 (GGA-PBE, optimized geometry); formation energy from raw total energies = -0.172 eV per atom; crystal system = orthorhombic
1.0
-2.0546 0.3289 -2.8976
-3.4970 -2.8947 2.1510
-4.2744 8.0991 3.9501
Si Fe Ni
2 4 10
direct
0.0000 0.5000 0.0000
0.0000 0.0000 0.5000
0.5000 0.2714 0.3686
0.5000 0.2286 0.8686
0.5000 0.7714 0.1314
0.5000 0.7286 0.6314
0.5000 0.7303 0.8825
0.0000 0.0173 0.2535
0.0000 0.5173 0.2465
0.0000 0.0000 0.0000
0.5000 0.7697 0.3825
0.5000 0.2303 0.6175
0.0000 0.9827 0.7465
0.5000 0.2697 0.1175
0.0000 0.5000 0.5000
0.0000 0.4827 0.7535

Entry 5:
Li2AcCe (GGA-PBE, optimized geometry); crystal system = trigonal; E_form = 1.59 eV/f.u.
1.0
-2.1673 -2.5310 0.9834
0.7634 -1.9651 2.7614
-6.4770 6.5057 8.6057
Li Ac Ce
2 1 1
direct
0.9132 0.9132 0.2604
0.0868 0.0868 0.7396
0.5000 0.5000 0.5000
0.0000 0.0000 0.0000

Entry 6:
LiCd (GGA-PBE, optimized geometry); crystal system = orthorhombic; E_form = -0.35 eV/f.u.
1.0
3.1000 0.0000 0.0000
0.0000 4.9238 0.0000
0.0000 0.0000 5.0856
Li Cd
2 2
direct
0.5000 0.0000 0.4964
0.0000 0.5000 0.3369
0.0000 0.0000 0.0113
0.5000 0.5000 0.8220

Entry 7:
ScTc2ClO (GGA-PBE, optimized geometry); formation energy from raw total energies = 0.739 eV per atom; crystal system = tetragonal
1.0
5.2662 0.0000 0.0000
0.0000 3.8808 0.0000
0.0000 0.0000 5.2662
O Tc Sc Cl
1 2 1 1
direct
0.0000 0.5000 0.0000
0.5000 0.0000 0.0000
0.0000 0.0000 0.5000
0.0000 0.0000 0.0000
0.5000 0.5000 0.5000

Entry 8:
As3C (GGA-PBE, optimized geometry); energy relative to the lowest polymorph listed for this composition = 1180 meV per atom; crystal system = cubic; E_form = 6.88 eV/f.u.
1.0
-3.2471 2.7120 -2.8764
-1.0650 -4.1847 -2.7433
-3.8071 -1.1424 3.2207
As C
6 2
direct
0.0000 0.7500 0.5000
0.7500 0.5000 0.0000
0.0000 0.2500 0.5000
0.2500 0.5000 0.0000
0.5000 0.0000 0.2500
0.5000 0.0000 0.7500
0.5000 0.5000 0.5000
0.0000 0.0000 0.0000

Entry 9:
Sr4Cu2Bi (GGA-PBE, optimized geometry); crystal system = tetragonal; E_form = -0.40 eV/f.u.
1.0
-1.6799 -0.6386 6.1134
4.2606 -4.6890 0.6809
6.5172 2.3704 5.3593
Cu Sr Bi
2 4 1
direct
0.4213 0.4213 0.1574
0.5787 0.5787 0.8426
0.7816 0.7816 0.4368
0.2184 0.2184 0.5632
0.5000 0.0000 0.0000
0.0000 0.5000 0.0000
0.0000 0.0000 0.0000